Record 1
SnOs2Cl after structural relaxation. Source: Alexandria via LeMat-Bulk, functional GGA-PBE.

POSCAR file:
```
SnOs2Cl
1.0
1.319 0.420 4.319
-1.788 -2.684 3.189
2.532 -3.235 1.923
Os Sn Cl
2 1 1
direct
0.250 0.250 0.250
0.750 0.750 0.750
0.500 0.500 0.500
0.000 0.000 0.000
```

Results
Electronic total energy (eV for the cell shown): -23.6
Energy above the most stable polymorph in this dataset (kJ per mole of atoms): 20.3
Density of states at the Fermi level (states/eV per cell): 4.55


Record 2
SnOs2Cl after structural relaxation. Source: Alexandria via LeMat-Bulk, functional GGA-PBE.

POSCAR file:
```
SnOs2Cl
1.0
-4.355 0.905 -0.375
-0.589 -3.785 -2.293
-3.838 -5.255 5.315
Os Sn Cl
4 2 2
direct
0.527 0.125 0.250
0.223 0.625 0.250
0.375 0.473 0.750
0.875 0.777 0.750
0.000 0.000 0.000
0.750 0.250 0.500
0.500 0.500 0.000
0.250 0.750 0.500
```

Results
Electronic total energy (eV for the cell shown): -48.8
Energy above the most stable polymorph in this dataset (kJ per mole of atoms): 0.0
Density of states at the Fermi level (states/eV per cell): 7.20


Record 3
Sn3OsCl after structural relaxation. Source: Alexandria via LeMat-Bulk, functional GGA-PBE.

POSCAR file:
```
Sn3OsCl
1.0
-5.054 1.066 0.569
-0.806 -4.798 1.824
0.900 1.686 4.832
Os Sn Cl
1 3 1
direct
0.500 0.500 0.500
0.000 0.500 0.000
0.000 0.000 0.500
0.500 0.000 0.000
0.000 0.000 0.000
```

Results
Electronic total energy (eV for the cell shown): -18.2
Energy above the most stable polymorph in this dataset (kJ per mole of atoms): 139.3
Density of states at the Fermi level (states/eV per cell): 3.88


Record 4
TlSnOs2Cl after structural relaxation. Source: Alexandria via LeMat-Bulk, functional GGA-PBE.

POSCAR file:
```
TlSnOs2Cl
1.0
4.422 0.000 0.000
0.000 5.613 0.000
0.000 0.000 4.422
Tl Os Sn Cl
1 2 1 1
direct
0.500 0.500 0.500
0.000 0.000 0.500
0.500 0.000 0.000
0.000 0.500 0.000
0.000 0.000 0.000
```

Results
Electronic total energy (eV for the cell shown): -22.5
Density of states at the Fermi level (states/eV per cell): 4.33